The following is a DFT calculation (PBE) of crystalline NiC3 at its relaxed geometry.

a = 5.022 Å, b = 5.022 Å, c = 5.022 Å
α = 90.00°, β = 90.00°, γ = 90.00°
Space group Fm-3m (No. 225)
Inequivalent atoms, fractional coordinates:
Ni1 0.000 0.000 0.000 (multiplicity 4)
C1 0.000 0.000 0.500 (multiplicity 4)
C2 0.250 0.250 0.250 (multiplicity 8)

Output
**Offset from the most stable computed form**: 2358 meV/atom
**Formation energy from the elements**: 3010 meV per atom
**DFT total energy**: -5.3532 eV/atom


The following is a DFT calculation (PBE) of crystalline Ni2C at its relaxed geometry.

a = 9.038 Å, b = 2.567 Å, c = 5.212 Å
α = 90.00°, β = 105.16°, γ = 90.00°
Space group C2/m (No. 12)
Inequivalent atoms, fractional coordinates:
Ni1 0.139 0.000 0.342 (multiplicity 4)
Ni2 0.150 0.000 0.813 (multiplicity 4)
C1 0.003 0.500 0.864 (multiplicity 4)

Output
**Offset from the most stable computed form**: 161 meV/atom
**Formation energy from the elements**: 340 meV per atom
**DFT total energy**: -6.5888 eV/atom


The following is a DFT calculation (PBE) of crystalline NiC3 at its relaxed geometry.

a = 2.494 Å, b = 2.494 Å, c = 18.088 Å
α = 90.00°, β = 90.00°, γ = 90.00°
Space group I4/mmm (No. 139)
Inequivalent atoms, fractional coordinates:
Ni1 0.000 0.000 0.148 (multiplicity 4)
C1 0.000 0.000 0.415 (multiplicity 4)
C2 0.000 0.500 0.000 (multiplicity 4)
C3 0.000 0.500 0.250 (multiplicity 4)

Output
**Offset from the most stable computed form**: 1601 meV/atom
**Formation energy from the elements**: 2254 meV per atom
**DFT total energy**: -6.1094 eV/atom


The following is a DFT calculation (PBE) of crystalline Ni2C at its relaxed geometry.

a = 4.6611 Å, b = 4.6611 Å, c = 8.3469 Å
α = 90.00°, β = 90.00°, γ = 120.00°
Space group P6_3/mmc (No. 194)
Inequivalent atoms, fractional coordinates:
Ni1 0.0000 0.0000 0.0000 (multiplicity 2)
Ni2 0.1647 0.3294 0.2500 (multiplicity 6)
C1 0.3333 0.6667 0.1005 (multiplicity 4)

Output
**Offset from the most stable computed form**: 1147 meV/atom
**Formation energy from the elements**: 1326 meV per atom
**DFT total energy**: -5.6032 eV/atom


The following is a DFT calculation (PBE) of crystalline Ni2C at its relaxed geometry.

a = 5.286 Å, b = 3.294 Å, c = 6.006 Å
α = 90.00°, β = 90.00°, γ = 90.00°
Space group Pnma (No. 62)
Inequivalent atoms, fractional coordinates:
Ni1 0.035 0.250 0.150 (multiplicity 4)
Ni2 0.132 0.250 0.585 (multiplicity 4)
C1 0.245 0.750 0.390 (multiplicity 4)

Output
**Offset from the most stable computed form**: 193 meV/atom
**Formation energy from the elements**: 372 meV per atom
**DFT total energy**: -6.5568 eV/atom


The following is a DFT calculation (PBE) of crystalline NiC5 at its relaxed geometry.

a = 2.491 Å, b = 2.517 Å, c = 12.824 Å
α = 90.00°, β = 90.00°, γ = 90.00°
Space group Amm2 (No. 38)
Inequivalent atoms, fractional coordinates:
Ni1 0.000 0.000 0.000 (multiplicity 2)
C1 0.000 0.000 0.324 (multiplicity 2)
C2 0.000 0.000 0.753 (multiplicity 2)
C3 0.500 0.000 0.116 (multiplicity 2)
C4 0.500 0.000 0.393 (multiplicity 2)
C5 0.500 0.000 0.682 (multiplicity 2)

Output
**Offset from the most stable computed form**: 229 meV/atom
**Formation energy from the elements**: 637 meV per atom
**DFT total energy**: -8.0131 eV/atom


What did the first record say?
The following is a DFT calculation (PBE) of crystalline NiC3 at its relaxed geometry.

a = 5.022 Å, b = 5.022 Å, c = 5.022 Å
α = 90.00°, β = 90.00°, γ = 90.00°
Space group Fm-3m (No. 225)
Inequivalent atoms, fractional coordinates:
Ni1 0.000 0.000 0.000 (multiplicity 4)
C1 0.000 0.000 0.500 (multiplicity 4)
C2 0.250 0.250 0.250 (multiplicity 8)

Output
**Offset from the most stable computed form**: 2358 meV/atom
**Formation energy from the elements**: 3010 meV per atom
**DFT total energy**: -5.3532 eV/atom


> Which formula does entry 1 have?

NiC3


> formation energy from the elements of number 5 (Ni2C)?

372 meV per atom


What did the second record say?
The following is a DFT calculation (PBE) of crystalline Ni2C at its relaxed geometry.

a = 9.038 Å, b = 2.567 Å, c = 5.212 Å
α = 90.00°, β = 105.16°, γ = 90.00°
Space group C2/m (No. 12)
Inequivalent atoms, fractional coordinates:
Ni1 0.139 0.000 0.342 (multiplicity 4)
Ni2 0.150 0.000 0.813 (multiplicity 4)
C1 0.003 0.500 0.864 (multiplicity 4)

Output
**Offset from the most stable computed form**: 161 meV/atom
**Formation energy from the elements**: 340 meV per atom
**DFT total energy**: -6.5888 eV/atom